Below is a relaxed structure of Ba7Na2Pd2, with properties calculated at the PBE level.

- energy of formation from the pure elements (meV per atom) = -203
- distance to the lowest polymorph of the same formula (eV/atom) = 0.000
- space-group type = Imm2, No. 44
- DFT total energy (eV/cell) = -28.7

a = 11.7156 Å, b = 11.7156 Å, c = 11.7156 Å
α = 158.68°, β = 70.21°, γ = 114.02°
Last column: nearest neighbours and their distance in Å.
Atoms (fractional coordinates):
Ba  0.0000  0.0000  0.0000  2 Pd 3.48
Ba  0.0352  0.6847  0.3505  2 Pd 3.24
Ba  0.3204  0.5008  0.8195  2 Pd 3.42
Ba  0.3342  0.6847  0.6495  2 Pd 3.24
Ba  0.6668  0.3173  0.3495  2 Pd 3.26
Ba  0.6813  0.5008  0.1805  2 Pd 3.42
Ba  0.9678  0.3173  0.6505  2 Pd 3.26
Na  0.4102  0.9102  0.5000  2 Na 3.84, 6 Ba 4.06-4.24
Na  0.6592  0.6592  0.0000  2 Na 3.84, 6 Ba 4.01-4.13
Pd  0.1839  0.0026  0.1813  7 Ba 3.24-3.48
Pd  0.8213  0.0026  0.8187  7 Ba 3.24-3.48

=====

Below is a relaxed structure of Ba3NaPd, with properties calculated at the PBE level.

- energy of formation from the pure elements (meV per atom) = -253
- distance to the lowest polymorph of the same formula (eV/atom) = 0.000
- space-group type = Pm-3m, No. 221
- DFT total energy (eV/cell) = -13.5

a = 6.3573 Å, b = 6.3573 Å, c = 6.3573 Å
α = 90.00°, β = 90.00°, γ = 90.00°
Last column: nearest neighbours and their distance in Å.
Atoms (fractional coordinates):
Ba  0.0000  0.0000  0.5000  2 Pd 3.18
Ba  0.0000  0.5000  0.0000  2 Pd 3.18
Ba  0.5000  0.0000  0.0000  2 Pd 3.18
Na  0.5000  0.5000  0.5000  12 Ba 4.50
Pd  0.0000  0.0000  0.0000  6 Ba 3.18